[1]
Computed, not measured: a relaxed structure of KNa2Cu3P2 at the PBE-GGA level of DFT.

```
KNa2Cu3P2
1.0
2.636 1.522 6.387
-2.636 1.522 6.387
0.000 -3.044 6.387
K Na Cu P
1 2 3 2
Direct
0.000 0.000 0.000
0.409 0.409 0.409
0.591 0.591 0.591
0.000 0.000 0.500
0.000 0.500 0.000
0.500 0.000 0.000
0.254 0.254 0.254
0.746 0.746 0.746
```

Properties
Total DFT energy (no corrections), eV per atom: -3.56

***

[2]
Computed, not measured: a relaxed structure of ZrCuPt2 at the PBE-GGA level of DFT.

```
ZrCuPt2
1.0
4.621 0.000 0.000
0.000 5.630 0.000
0.000 0.000 4.943
Zr Cu Pt
2 2 4
Direct
0.250 0.250 0.159
0.750 0.750 0.841
0.250 0.750 0.190
0.750 0.250 0.810
0.250 0.001 0.677
0.250 0.499 0.677
0.750 0.501 0.323
0.750 0.999 0.323
```

Properties
Total DFT energy (no corrections), eV per atom: -6.92
DFT formation energy, eV/f.u.: -3.3

***

[3]
Computed, not measured: a relaxed structure of ScGaNiW at the PBE-GGA level of DFT.

```
ScGaNiW
1.0
0.000 3.165 3.165
3.165 0.000 3.165
3.165 3.165 0.000
Sc Ga Ni W
1 1 1 1
Direct
0.000 0.000 0.000
0.250 0.250 0.250
0.500 0.500 0.500
0.750 0.750 0.750
```

Properties
Total DFT energy (no corrections), eV per atom: -6.67

***

Copy entry 2 word for word.
Computed, not measured: a relaxed structure of ZrCuPt2 at the PBE-GGA level of DFT.

```
ZrCuPt2
1.0
4.621 0.000 0.000
0.000 5.630 0.000
0.000 0.000 4.943
Zr Cu Pt
2 2 4
Direct
0.250 0.250 0.159
0.750 0.750 0.841
0.250 0.750 0.190
0.750 0.250 0.810
0.250 0.001 0.677
0.250 0.499 0.677
0.750 0.501 0.323
0.750 0.999 0.323
```

Properties
Total DFT energy (no corrections), eV per atom: -6.92
DFT formation energy, eV/f.u.: -3.3

***

Q: Which of these has the highest total DFT energy (no corrections)?
A: KNa2Cu3P2